one) A plane-wave DFT calculation with GGA-PBE was carried out for ZnCu2Au5 after structural relaxation.

Geometry as extended XYZ:
```
8
Lattice="-3.471 4.344 -1.126 -4.388 -3.581 0.323 3.598 0.382 4.369" Properties=species:S:1:pos:R:3 pbc="T T T"
Cu -2.579 -1.387 2.123
Au -2.184 0.212 -0.223
Au -3.919 2.384 -0.786
Au -4.378 -1.578 -0.062
Cu -2.120 2.575 1.398
Au -0.385 0.403 1.961
Zn -6.113 0.593 -0.625
Au -4.314 0.785 1.560
```

SG   I4/mmm (139)
Total moment   0.00 μB per formula unit

***

two) A plane-wave DFT calculation with GGA-PBE was carried out for ZnCu2Au5 after structural relaxation.

Geometry as extended XYZ:
```
16
Lattice="-5.056 3.359 3.287 3.250 -0.989 6.010 3.627 3.589 -5.336" Properties=species:S:1:pos:R:3 pbc="T T T"
Au 2.755 0.628 1.347
Cu -2.777 2.006 2.922
Au 2.210 3.464 2.109
Zn 0.459 3.572 4.304
Cu -2.289 2.266 6.666
Au 2.195 1.363 4.233
Cu 0.482 0.104 2.630
Cu 0.970 0.365 6.374
Au -0.389 2.494 1.851
Au -2.967 3.844 1.006
Au -0.374 4.595 -0.273
Zn 1.362 2.387 -0.344
Au 0.000 0.000 0.000
Au 4.788 2.115 2.954
Au -0.935 5.331 2.613
Au -0.903 1.185 4.648
```

SG   I4/mcm (140)
Total moment   0.00 μB per formula unit

***

one) comes first in stability; the runner-up is 23 meV per atom higher.

***

one) A plane-wave DFT calculation with GGA-PBE was carried out for Zn3Cu2Au3 after structural relaxation.

Geometry as extended XYZ:
```
16
Lattice="-4.058 0.177 -0.877 1.585 -4.624 1.576 -2.535 3.362 12.414" Properties=species:S:1:pos:R:3 pbc="T T T"
Zn -1.778 -1.698 7.890
Au -2.158 -0.098 9.968
Cu -1.176 -0.800 5.284
Au -1.565 1.166 7.480
Zn -3.229 0.614 5.224
Cu -0.500 -1.697 1.971
Au -2.395 2.267 11.545
Zn -1.017 -3.081 4.087
Au -3.443 -2.251 5.633
Cu -4.508 0.612 11.143
Cu -3.831 -0.285 7.830
Zn -2.281 -0.644 0.580
Au -2.850 -0.987 3.146
Zn -2.727 -0.440 12.534
Au -2.613 -3.352 1.569
Zn -3.990 1.996 9.026
```

SG   Cmcm (63)
Total moment   0.00 μB per formula unit

***

two) A plane-wave DFT calculation with GGA-PBE was carried out for Zn3Cu2Au3 after structural relaxation.

Geometry as extended XYZ:
```
8
Lattice="2.854 0.000 0.000 0.000 6.227 -3.595 0.000 0.000 7.190" Properties=species:S:1:pos:R:3 pbc="T T T"
Zn 0.000 0.000 2.061
Au 1.427 0.000 4.683
Zn 0.000 4.442 2.564
Zn 0.000 1.785 -1.030
Au 1.427 2.171 1.253
Cu 0.000 2.076 3.595
Cu 0.000 4.151 0.000
Au 1.427 4.056 -2.342
```

SG   P-62m (189)
Total moment   0.00 μB per formula unit

***

two) comes first in stability; the runner-up is 47 meV per atom higher.

***

one) A plane-wave DFT calculation with GGA-PBE was carried out for Zn2Cu3Au after structural relaxation.

Geometry as extended XYZ:
```
12
Lattice="5.041 0.083 0.613 -0.522 5.014 0.613 -0.025 -0.028 6.641" Properties=species:S:1:pos:R:3 pbc="T T T"
Cu 3.760 3.269 4.226
Cu 1.687 0.930 6.961
Zn 4.146 1.984 6.563
Cu 2.806 4.139 0.905
Au 4.623 0.441 2.273
Cu 1.792 2.925 5.594
Zn 0.348 3.086 1.303
Zn 1.484 4.368 3.243
Au -0.130 4.629 5.594
Zn 3.009 0.701 4.624
Cu 0.733 1.801 3.641
Cu 2.701 2.144 2.273
```

SG   C2/c (15)
Total moment   0.00 μB per formula unit

***

two) A plane-wave DFT calculation with GGA-PBE was carried out for Zn2Cu3Au after structural relaxation.

Geometry as extended XYZ:
```
12
Lattice="-4.089 -1.111 -3.964 -2.821 -1.283 4.906 2.403 6.024 4.084" Properties=species:S:1:pos:R:3 pbc="T T T"
Zn -2.044 2.417 5.917
Cu -3.546 1.337 2.768
Cu -2.879 0.071 4.886
Au -4.434 -0.162 0.577
Zn -2.753 3.556 3.615
Cu -0.961 2.293 2.258
Au -0.073 3.792 4.449
Zn -2.463 1.214 -0.891
Cu -3.375 -0.986 -1.880
Cu -1.628 3.559 0.140
Zn -1.754 0.074 1.411
Cu -1.132 4.617 6.906
```

SG   C2/c (15)
Total moment   0.00 μB per formula unit

***

one) comes first in stability; the runner-up is 25 meV per atom higher.

***

one) A plane-wave DFT calculation with GGA-PBE was carried out for ZnCu6Au12 after structural relaxation.

Geometry as extended XYZ:
```
19
Lattice="7.158 -0.304 -0.364 -1.386 7.029 -0.364 -1.386 -1.615 6.851" Properties=species:S:1:pos:R:3 pbc="T T T"
Au -0.935 -0.069 4.645
Cu 4.038 2.544 4.571
Au 2.617 4.043 0.817
Cu 2.484 1.394 0.998
Cu 1.002 0.505 2.802
Cu 3.384 4.605 3.320
Cu 0.348 2.566 1.550
Au 3.599 0.232 3.294
Au 4.671 -0.230 0.762
Zn 0.000 0.000 0.000
Cu 1.902 3.716 5.124
Au 1.769 1.067 5.305
Au 0.074 4.737 -0.090
Au 5.322 5.179 1.477
Au 4.703 2.511 1.998
Au 4.312 0.373 6.212
Au -0.317 2.599 4.124
Au -0.285 5.340 5.360
Au 0.787 4.878 2.827
```

SG   R-3 (148)
Total moment   0.00 μB per formula unit

***

two) A plane-wave DFT calculation with GGA-PBE was carried out for ZnCu6Au12 after structural relaxation.

Geometry as extended XYZ:
```
19
Lattice="-5.186 -4.498 -1.185 5.130 -3.443 4.264 -2.920 -1.977 6.627" Properties=species:S:1:pos:R:3 pbc="T T T"
Au 1.194 -1.895 1.817
Au -1.489 -7.714 8.592
Zn 0.000 0.000 0.000
Au -5.289 -6.248 6.008
Au -2.250 -2.049 3.823
Au -1.487 -2.203 1.115
Cu -0.407 -3.925 2.926
Au -0.726 -7.868 5.883
Cu -2.569 -5.992 6.780
Cu 0.138 -5.691 7.442
Au -4.170 -8.022 7.889
Cu -4.680 -6.297 3.322
Cu 1.704 -3.620 6.384
Au 2.313 -3.669 3.699
Au 0.865 -5.838 4.823
Cu -3.114 -4.226 2.264
Au -3.841 -4.079 4.884
Au -1.000 -3.895 5.653
Au -1.976 -6.022 4.053
```

SG   R-3 (148)
Total moment   0.00 μB per formula unit

***

two) comes first in stability; the runner-up is 124 meV per atom higher.

***

one) A plane-wave DFT calculation with GGA-PBE was carried out for Zn3Cu2Au6 after structural relaxation.

Geometry as extended XYZ:
```
11
Lattice="-0.404 -1.336 -3.610 -3.359 -1.650 0.987 -4.461 12.413 -2.019" Properties=species:S:1:pos:R:3 pbc="T T T"
Cu -2.443 -0.526 -1.607
Cu -5.781 9.953 -3.036
Zn 0.000 0.000 0.000
Au -3.662 6.305 -1.923
Au -4.562 3.122 -2.719
Au -3.139 1.688 -0.273
Zn -5.807 5.266 -3.373
Zn -2.417 4.161 -1.269
Au -1.662 1.845 -2.571
Au -6.563 7.582 -2.071
Au -5.085 7.740 -4.369
```

SG   I4/mmm (139)
Total moment   0.00 μB per formula unit

***

two) A plane-wave DFT calculation with GGA-PBE was carried out for Zn3Cu2Au6 after structural relaxation.

Geometry as extended XYZ:
```
11
Lattice="3.901 0.000 0.000 0.000 3.901 0.000 -1.951 -1.951 13.054" Properties=species:S:1:pos:R:3 pbc="T T T"
Au 1.951 0.000 1.942
Zn 0.000 0.000 0.000
Cu 1.951 1.951 3.902
Zn 1.951 1.951 9.055
Zn 0.000 0.000 3.999
Au 0.000 1.951 11.112
Cu 0.000 0.000 9.153
Au 1.951 1.951 6.477
Au 0.000 0.000 6.577
Au 0.000 1.951 1.942
Au 1.951 0.000 11.112
```

SG   I4/mmm (139)
Total moment   0.00 μB per formula unit

***

two) comes first in stability; the runner-up is 32 meV per atom higher.

***

one) A plane-wave DFT calculation with GGA-PBE was carried out for Zn8CuAu3 after structural relaxation.

Geometry as extended XYZ:
```
12
Lattice="-3.990 4.441 3.112 -1.531 -1.786 -6.308 -0.004 -6.368 2.186" Properties=species:S:1:pos:R:3 pbc="T T T"
Zn -3.048 2.523 1.909
Zn -2.210 0.524 0.680
Au -2.381 -3.002 1.619
Zn -0.435 -5.622 -0.022
Au -0.768 -4.077 -2.061
Zn -1.232 -3.232 -4.454
Zn -0.987 -6.953 -2.055
Au -3.144 -0.711 -2.629
Cu 0.000 0.000 0.000
Zn -3.184 -3.537 -1.336
Zn -1.399 -5.716 -4.349
Zn -1.627 -1.721 -0.636
```

SG   I-42m (121)
Total moment   0.00 μB per formula unit

***

two) A plane-wave DFT calculation with GGA-PBE was carried out for Zn8CuAu3 after structural relaxation.

Geometry as extended XYZ:
```
12
Lattice="-1.581 7.250 4.150 -3.292 -6.969 -1.815 -2.701 -7.235 3.557" Properties=species:S:1:pos:R:3 pbc="T T T"
Zn -1.151 -1.373 1.824
Zn -0.938 1.380 1.937
Zn -3.737 -1.991 2.971
Zn -3.131 1.388 5.884
Au -4.858 -3.473 4.873
Zn -4.169 -9.246 2.746
Au -2.141 0.008 3.854
Cu -2.701 -7.234 3.557
Au -2.717 -3.481 1.019
Zn -3.405 2.292 3.147
Zn -3.344 -1.365 5.771
Zn -3.838 -4.963 2.921
```

SG   Fmmm (69)
Total moment   0.00 μB per formula unit

***

two) comes first in stability; the runner-up is 149 meV per atom higher.

***

one) A plane-wave DFT calculation with GGA-PBE was carried out for ZrCuAu3 after structural relaxation.

Geometry as extended XYZ:
```
5
Lattice="-4.675 -0.184 0.634 -0.391 -2.882 -3.720 0.531 -3.736 2.838" Properties=species:S:1:pos:R:3 pbc="T T T"
Au -0.195 -1.441 -1.860
Au 0.266 -1.868 1.419
Zr -2.267 -3.400 -0.124
Cu 0.000 0.000 0.000
Au -2.338 -0.092 0.317
```

SG   Pm-3m (221)
Total moment   1.11 μB per formula unit

***

two) A plane-wave DFT calculation with GGA-PBE was carried out for ZrCuAu3 after structural relaxation.

Geometry as extended XYZ:
```
10
Lattice="-4.567 3.289 2.631 -4.013 -5.421 -0.189 1.423 -1.192 3.959" Properties=species:S:1:pos:R:3 pbc="T T T"
Zr -1.170 -1.360 3.633
Cu -3.953 -3.512 3.985
Au -4.807 -4.526 1.572
Au -2.351 1.203 4.829
Au -2.092 -4.852 2.913
Au -5.066 1.529 3.488
Cu -3.205 0.188 2.417
Au -3.153 -2.292 1.650
Zr -5.988 -1.963 2.769
Au -4.005 -1.031 4.751
```

SG   Pmmn (59)
Total moment   0.00 μB per formula unit

***

two) comes first in stability; the runner-up is 614 meV per atom higher.

***

one) A plane-wave DFT calculation with GGA-PBE was carried out for Dy3Au after structural relaxation.

Geometry as extended XYZ:
```
4
Lattice="3.675 0.000 0.000 0.000 3.595 0.000 0.000 0.000 9.255" Properties=species:S:1:pos:R:3 pbc="T T T"
Dy 1.837 1.797 1.292
Au 0.000 0.000 9.173
Dy 0.000 1.797 4.331
Dy 1.837 0.000 6.799
```

SG   Pmm2 (25)
Total moment   0.00 μB per formula unit

***

two) A plane-wave DFT calculation with GGA-PBE was carried out for Dy3Au after structural relaxation.

Geometry as extended XYZ:
```
16
Lattice="6.150 0.005 0.005 3.082 8.520 0.001 3.082 0.001 8.520" Properties=species:S:1:pos:R:3 pbc="T T T"
Dy 7.646 1.639 8.518
Au 9.233 6.035 2.503
Dy 9.232 5.487 5.492
Dy 7.749 8.517 6.888
Dy 6.158 3.035 5.486
Dy 6.158 5.489 3.041
Dy 1.588 0.007 1.634
Dy 4.483 3.460 8.517
Dy 3.079 3.038 3.034
Au 6.158 6.024 6.032
Au 3.083 2.492 6.022
Dy 4.754 0.007 3.461
Au 6.152 2.502 2.495
Dy 7.644 6.891 0.010
Dy 10.912 8.520 5.067
Dy 4.478 5.063 0.008
```

SG   P1 (1)
Total moment   0.00 μB per formula unit

***

three) A plane-wave DFT calculation with GGA-PBE was carried out for Dy3Au after structural relaxation.

Geometry as extended XYZ:
```
4
Lattice="-2.372 0.355 2.830 -2.002 -4.775 -1.078 5.958 -0.152 2.581" Properties=species:S:1:pos:R:3 pbc="T T T"
Dy 0.560 -0.413 2.952
Dy -2.020 -1.812 0.966
Dy 1.359 -3.363 1.560
Au -1.835 -4.377 -0.988
```

SG   Immm (71)
Total moment   0.00 μB per formula unit

***

three) comes first in stability; the runner-up is 17 meV per atom higher.